VASP calculation (PBE+U) on a relaxed CoPd3F crystal.

Cell lengths 4.6136, 4.6136, 4.6136 Å; angles 90.00, 90.00, 90.00 degrees
Fractional positions:
Co 0.0000 0.0000 0.0000
Pd 0.0000 0.0000 0.5000
Pd 0.0000 0.5000 0.0000
Pd 0.5000 0.0000 0.0000
F 0.5000 0.5000 0.5000

Summary:
Final energy (eV for the cell shown): -18.8
Crystal system: cubic
Volume (Å³ per cell): 98.2